Entry from Alexandria: a relaxed NdSmTlRu crystal (PBE).

```
NdSmTlRu
1.0
-0.426 -3.675 -3.683
1.629 -4.865 0.966
-3.477 -3.856 0.550
Ru Tl Nd Sm
1 1 1 1
direct
0.750 0.750 0.750
0.250 0.250 0.250
0.500 0.500 0.500
0.000 0.000 0.000
```

Energy relative to the elements   -16 kJ per mole of atoms
Relative energy among the computed polymorphs   12.71 kJ per mole of atoms
Theoretical density   9.90 Mg/m³

=====

Entry from Alexandria: a relaxed Nd2SmU2Ru5 crystal (PBE).

```
Nd2SmU2Ru5
1.0
3.582 0.000 0.000
0.000 10.889 0.000
0.000 0.000 10.889
Nd Sm U Ru
4 2 4 10
direct
0.000 0.676 0.176
0.000 0.324 0.824
0.000 0.176 0.324
0.000 0.824 0.676
0.000 0.000 0.000
0.000 0.500 0.500
0.000 0.134 0.634
0.000 0.866 0.366
0.000 0.634 0.866
0.000 0.366 0.134
0.500 0.219 0.050
0.500 0.781 0.950
0.500 0.050 0.781
0.500 0.719 0.450
0.500 0.950 0.219
0.500 0.281 0.550
0.500 0.550 0.719
0.500 0.450 0.281
0.500 0.500 0.000
0.500 0.000 0.500
```

Energy relative to the elements   -20 kJ per mole of atoms
Theoretical density   11.11 Mg/m³

=====

Calculated total energy / eV per atom: -5.4448; -8.5270